Record 1
Crystalline Sm4GeSe2I at its relaxed geometry. Source: Alexandria via LeMat-Bulk, functional GGA-PBE.

**SG**: No. 10
**Formation energy without anion corrections**: -1376 meV per atom
**V**: 222.4 Å³/cell

Lattice parameters (Å, degrees): 7.304 4.244 7.588 90.00 108.96 90.00
Sites, in units of the cell vectors:
Sm 0.229 0.000 0.212
Sm 0.250 0.500 0.775
Sm 0.750 0.500 0.225
Sm 0.771 0.000 0.788
Ge 0.500 0.000 0.000
Se 0.000 0.000 0.500
Se 0.000 0.500 0.000
I 0.500 0.500 0.500


Record 2
Crystalline SiPPb2 at its relaxed geometry. Source: Alexandria via LeMat-Bulk, functional GGA-PBE.

**SG**: No. 225
**Formation energy without anion corrections**: 511 meV per atom
**Distance to the lowest polymorph of the same formula**: 1.791 eV per formula unit
**V**: 94.6 Å³/cell

Lattice parameters (Å, degrees): 5.114 5.114 5.114 60.00 60.00 60.00
Sites, in units of the cell vectors:
Si 0.000 0.000 0.000
P 0.500 0.500 0.500
Pb 0.250 0.250 0.250
Pb 0.750 0.750 0.750


Record 3
Crystalline Te2RuCl at its relaxed geometry. Source: Alexandria via LeMat-Bulk, functional GGA-PBE.

**SG**: No. 166
**Formation energy without anion corrections**: 528 meV per atom
**Distance to the lowest polymorph of the same formula**: 2.930 eV per formula unit
**V**: 96.6 Å³/cell

Lattice parameters (Å, degrees): 11.671 11.671 11.671 15.31 15.31 15.31
Sites, in units of the cell vectors:
Te 0.074 0.074 0.074
Te 0.926 0.926 0.926
Ru 0.000 0.000 0.000
Cl 0.500 0.500 0.500


Record 4
Crystalline P2HPtS at its relaxed geometry. Source: Alexandria via LeMat-Bulk, functional GGA-PBE.

**SG**: No. 123
**Distance to the lowest polymorph of the same formula**: 0.000 eV per formula unit
**V**: 64.6 Å³/cell

Lattice parameters (Å, degrees): 3.693 3.693 4.737 90.00 90.00 90.00
Sites, in units of the cell vectors:
P 0.000 0.500 0.000
P 0.500 0.000 0.000
H 0.000 0.000 0.000
Pt 0.500 0.500 0.500
S 0.000 0.000 0.500


Record 5
Crystalline Zn2TeAu at its relaxed geometry. Source: Alexandria via LeMat-Bulk, functional GGA-PBE.

**SG**: No. 47
**Formation energy without anion corrections**: 78 meV per atom
**V**: 83.5 Å³/cell

Lattice parameters (Å, degrees): 3.796 3.954 5.562 90.00 90.00 90.00
Sites, in units of the cell vectors:
Zn 0.000 0.000 0.000
Zn 0.000 0.500 0.500
Te 0.500 0.000 0.500
Au 0.500 0.500 0.000


Record 6
Crystalline TbPa3Tl2O12 at its relaxed geometry. Source: Alexandria via LeMat-Bulk, functional GGA-PBE.

**SG**: No. 166
**Formation energy without anion corrections**: -2475 meV per atom
**V**: 390.7 Å³/cell

Lattice parameters (Å, degrees): 8.137 8.137 8.137 61.14 61.14 61.14
Sites, in units of the cell vectors:
Tb 0.000 0.000 0.000
Pa 0.000 0.000 0.500
Pa 0.000 0.500 0.000
Pa 0.500 0.000 0.000
Tl 0.316 0.316 0.316
Tl 0.684 0.684 0.684
O 0.042 0.692 0.692
O 0.064 0.064 0.673
O 0.064 0.673 0.064
O 0.308 0.308 0.958
O 0.308 0.958 0.308
O 0.327 0.936 0.936
O 0.673 0.064 0.064
O 0.692 0.042 0.692
O 0.692 0.692 0.042
O 0.936 0.327 0.936
O 0.936 0.936 0.327
O 0.958 0.308 0.308


Record 7
Crystalline LaTb4Ag5 at its relaxed geometry. Source: Alexandria via LeMat-Bulk, functional GGA-PBE.

**SG**: No. 123
**E_form**: -0.305 eV per atom
**V**: 250.3 Å³/cell

Lattice parameters (Å, degrees): 3.652 3.652 18.763 90.00 90.00 90.00
Sites, in units of the cell vectors:
La 0.000 0.000 0.000
Tb 0.000 0.000 0.206
Tb 0.000 0.000 0.402
Tb 0.000 0.000 0.598
Tb 0.000 0.000 0.794
Ag 0.500 0.500 0.113
Ag 0.500 0.500 0.304
Ag 0.500 0.500 0.500
Ag 0.500 0.500 0.696
Ag 0.500 0.500 0.887


Record 8
Crystalline CoCuSb2Te at its relaxed geometry. Source: Alexandria via LeMat-Bulk, functional GGA-PBE.

**SG**: No. 123
**Formation energy without anion corrections**: 556 meV per atom
**Distance to the lowest polymorph of the same formula**: 0.000 eV per formula unit
**V**: 123.5 Å³/cell

Lattice parameters (Å, degrees): 4.771 4.771 5.425 90.00 90.00 90.00
Sites, in units of the cell vectors:
Co 0.000 0.000 0.000
Cu 0.500 0.500 0.500
Sb 0.000 0.500 0.000
Sb 0.500 0.000 0.000
Te 0.000 0.000 0.500


Record 9
Crystalline KNaB12 at its relaxed geometry. Source: Alexandria via LeMat-Bulk, functional GGA-PBE.

**SG**: No. 225
**E_form**: -0.019 eV per atom
**V**: 147.8 Å³/cell

Lattice parameters (Å, degrees): 5.935 5.935 5.935 60.00 60.00 60.00
Sites, in units of the cell vectors:
K 0.000 0.000 0.000
Na 0.500 0.500 0.500
B 0.099 0.099 0.401
B 0.099 0.401 0.099
B 0.099 0.401 0.401
B 0.401 0.099 0.099
B 0.401 0.099 0.401
B 0.401 0.401 0.099
B 0.599 0.599 0.901
B 0.599 0.901 0.599
B 0.599 0.901 0.901
B 0.901 0.599 0.599
B 0.901 0.599 0.901
B 0.901 0.901 0.599


Record 10
Crystalline Na3LaMg at its relaxed geometry. Source: Alexandria via LeMat-Bulk, functional GGA-PBE.

**SG**: No. 221
**E_form**: 0.520 eV per atom
**V**: 168.0 Å³/cell

Lattice parameters (Å, degrees): 5.518 5.518 5.518 90.00 90.00 90.00
Sites, in units of the cell vectors:
Na 0.000 0.000 0.500
Na 0.000 0.500 0.000
Na 0.500 0.000 0.000
La 0.500 0.500 0.500
Mg 0.000 0.000 0.000


Record 11
Crystalline ZrPaAg2O8 at its relaxed geometry. Source: Alexandria via LeMat-Bulk, functional GGA-PBE.

**SG**: No. 119
**Formation energy without anion corrections**: -1588 meV per atom
**V**: 173.9 Å³/cell

Lattice parameters (Å, degrees): 6.090 6.090 6.090 109.49 109.49 109.43
Sites, in units of the cell vectors:
Zr 0.000 0.000 0.000
Pa 0.750 0.250 0.500
Ag 0.250 0.750 0.500
Ag 0.500 0.500 0.000
O 0.019 0.332 0.313
O 0.019 0.705 0.687
O 0.080 0.258 0.822
O 0.295 0.981 0.313
O 0.436 0.258 0.178
O 0.668 0.981 0.687
O 0.742 0.564 0.822
O 0.742 0.920 0.178


Record 12
Crystalline Fe4Ag at its relaxed geometry. Source: Alexandria via LeMat-Bulk, functional GGA-PBE.

**SG**: No. 221
**E_form**: 1.831 eV per atom
**Distance to the lowest polymorph of the same formula**: 7.955 eV per formula unit
**V**: 100.0 Å³/cell

Lattice parameters (Å, degrees): 4.641 4.641 4.641 90.00 90.00 90.00
Sites, in units of the cell vectors:
Fe 0.000 0.000 0.000
Fe 0.000 0.500 0.500
Fe 0.500 0.000 0.500
Fe 0.500 0.500 0.000
Ag 0.500 0.500 0.500


Record 13
Crystalline InBIN2 at its relaxed geometry. Source: Alexandria via LeMat-Bulk, functional GGA-PBE.

**SG**: No. 123
**Formation energy without anion corrections**: 1896 meV per atom
**Distance to the lowest polymorph of the same formula**: 0.000 eV per formula unit
**V**: 75.3 Å³/cell

Lattice parameters (Å, degrees): 3.825 3.825 5.148 90.00 90.00 90.00
Sites, in units of the cell vectors:
In 0.000 0.000 0.000
B 0.500 0.500 0.500
I 0.500 0.500 0.000
N 0.000 0.500 0.500
N 0.500 0.000 0.500


Record 14
Crystalline ReSi2Rh2 at its relaxed geometry. Source: Alexandria via LeMat-Bulk, functional GGA-PBE.

**SG**: No. 127
**Formation energy without anion corrections**: -433 meV per atom
**V**: 134.8 Å³/cell

Lattice parameters (Å, degrees): 7.020 7.020 2.736 90.00 90.00 90.00
Sites, in units of the cell vectors:
Re 0.000 0.000 0.000
Re 0.500 0.500 0.000
Si 0.153 0.347 0.000
Si 0.347 0.847 0.000
Si 0.653 0.153 0.000
Si 0.847 0.653 0.000
Rh 0.147 0.647 0.500
Rh 0.353 0.147 0.500
Rh 0.647 0.853 0.500
Rh 0.853 0.353 0.500


Record 15
Crystalline SrNi2Sn2 at its relaxed geometry. Source: Alexandria via LeMat-Bulk, functional GGA-PBE.

**SG**: No. 15
**E_form**: -0.393 eV per atom
**V**: 222.5 Å³/cell

Lattice parameters (Å, degrees): 6.403 6.403 7.243 100.90 100.90 124.84
Sites, in units of the cell vectors:
Sr 0.125 0.875 0.750
Sr 0.875 0.125 0.250
Ni 0.275 0.526 0.051
Ni 0.474 0.725 0.449
Ni 0.526 0.275 0.551
Ni 0.725 0.474 0.949
Sn 0.183 0.817 0.250
Sn 0.434 0.566 0.750
Sn 0.566 0.434 0.250
Sn 0.817 0.183 0.750


Record 16
Crystalline NdClO at its relaxed geometry. Source: Alexandria via LeMat-Bulk, functional GGA-PBE.

**SG**: No. 139
**Formation energy without anion corrections**: -2853 meV per atom
**V**: 119.2 Å³/cell

Lattice parameters (Å, degrees): 7.102 7.102 7.102 144.66 144.66 50.84
Sites, in units of the cell vectors:
Nd 0.164 0.164 0.000
Nd 0.836 0.836 0.000
Cl 0.000 0.500 0.500
Cl 0.500 0.000 0.500
O 0.250 0.750 0.500
O 0.750 0.250 0.500


Record 17
Crystalline Na3Ce3HoS8 at its relaxed geometry. Source: Alexandria via LeMat-Bulk, functional GGA-PBE.

**SG**: No. 166
**Formation energy without anion corrections**: -1782 meV per atom
**V**: 386.1 Å³/cell

Lattice parameters (Å, degrees): 8.160 8.160 8.160 60.21 60.21 60.21
Sites, in units of the cell vectors:
Na 0.000 0.500 0.500
Na 0.500 0.000 0.500
Na 0.500 0.500 0.000
Ce 0.000 0.000 0.500
Ce 0.000 0.500 0.000
Ce 0.500 0.000 0.000
Ho 0.500 0.500 0.500
S 0.244 0.244 0.244
S 0.247 0.737 0.737
S 0.263 0.263 0.753
S 0.263 0.753 0.263
S 0.737 0.247 0.737
S 0.737 0.737 0.247
S 0.753 0.263 0.263
S 0.756 0.756 0.756


Record 18
Crystalline Li2Ac2Hg at its relaxed geometry. Source: Alexandria via LeMat-Bulk, functional GGA-PBE.

**SG**: No. 128
**E_form**: -0.116 eV per atom
**Distance to the lowest polymorph of the same formula**: 0.178 eV per formula unit
**V**: 575.9 Å³/cell

Lattice parameters (Å, degrees): 7.344 7.344 10.679 90.00 90.00 90.00
Sites, in units of the cell vectors:
Li 0.133 0.367 0.250
Li 0.133 0.367 0.750
Li 0.367 0.867 0.250
Li 0.367 0.867 0.750
Li 0.633 0.133 0.250
Li 0.633 0.133 0.750
Li 0.867 0.633 0.250
Li 0.867 0.633 0.750
Ac 0.181 0.681 0.000
Ac 0.181 0.681 0.500
Ac 0.319 0.181 0.000
Ac 0.319 0.181 0.500
Ac 0.681 0.819 0.000
Ac 0.681 0.819 0.500
Ac 0.819 0.319 0.000
Ac 0.819 0.319 0.500
Hg 0.000 0.000 0.250
Hg 0.000 0.000 0.750
Hg 0.500 0.500 0.250
Hg 0.500 0.500 0.750


Record 19
Crystalline AcBi2PbO8 at its relaxed geometry. Source: Alexandria via LeMat-Bulk, functional GGA-PBE.

**SG**: No. 10
**Formation energy without anion corrections**: -1365 meV per atom
**V**: 197.3 Å³/cell

Lattice parameters (Å, degrees): 5.241 7.174 5.250 90.00 92.20 90.00
Sites, in units of the cell vectors:
Ac 0.000 0.000 0.000
Bi 0.500 0.258 0.500
Bi 0.500 0.742 0.500
Pb 0.000 0.500 0.000
O 0.202 0.274 0.203
O 0.202 0.726 0.203
O 0.310 0.500 0.690
O 0.329 0.000 0.673
O 0.671 0.000 0.327
O 0.690 0.500 0.310
O 0.798 0.274 0.797
O 0.798 0.726 0.797


Record 20
Crystalline CaMn2Tc at its relaxed geometry. Source: Alexandria via LeMat-Bulk, functional GGA-PBE.

**SG**: No. 71
**E_form**: 0.623 eV per atom
**Distance to the lowest polymorph of the same formula**: 1.054 eV per formula unit
**V**: 72.1 Å³/cell

Lattice parameters (Å, degrees): 5.430 5.430 5.430 146.01 125.32 65.96
Sites, in units of the cell vectors:
Ca 0.000 0.000 0.000
Mn 0.289 0.789 0.500
Mn 0.711 0.211 0.500
Tc 0.500 0.500 0.000


Calculated DOS(E_F) (states/eV per cell), listed in the same order as above: 3.54; 2.07; 7.03; 2.46; 1.36; 14.69; 4.77; 4.30; 3.97; 6.06; 5.36; 7.48; 2.93; 3.28; 5.41; 0.00; 13.68; 20.33; 2.49; 4.80
Calculated raw total energy (eV/atom), listed in the same order as above: -5.377; -4.052; -3.823; -4.118; -2.164; -7.883; -4.076; -3.962; -5.915; -1.576; -6.872; -5.509; -3.627; -8.032; -4.643; -6.710; -5.739; -2.585; -5.969; -7.053